Below is a relaxed Si4Tc2B crystal, with properties calculated at the PBE level.

POSCAR file:
```
Si4Tc2B
1.0
3.8924 0.0000 0.0000
0.0000 3.8924 0.0000
1.9462 1.9462 6.5430
Si Tc B
4 2 1
direct
0.8141 0.8141 0.3718
0.0000 0.5000 0.0000
0.1859 0.1859 0.6282
0.5000 0.0000 0.0000
0.6237 0.6237 0.7526
0.3763 0.3763 0.2474
0.0000 0.0000 0.0000
```

final energy: -6.371 eV per atom
formation energy (no corrections): 434.4 kJ/mol of formula units
Fermi-level density of states: 3.7 states/eV/f.u.
symmetry: I4/mmm, No. 139